Version w
{
  "formula": "Hf4Pa",
  "functional": "PBE-GGA",
  "state": "relaxed",
  "mass_density_g_cm3": 13.610,
  "magnetic_moment_mub_per_cell": 0.0,
  "lattice_angstrom": [[2.8233, -1.5720, 0.0000], [2.8233, 1.5720, 0.0000], [-1.2956, 0.0000, 12.9889]],
  "species": ["Hf", "Hf", "Hf", "Hf", "Pa"],
  "frac_coords": [[0.1407, 0.1407, 0.4018], [0.2171, 0.2171, 0.7902], [0.7829, 0.7829, 0.2098], [0.8593, 0.8593, 0.5982], [0.0000, 0.0000, 0.0000]]
}


Version x
{
  "formula": "Hf4Pa",
  "functional": "PBE-GGA",
  "state": "relaxed",
  "mass_density_g_cm3": 11.762,
  "magnetic_moment_mub_per_cell": 0.0,
  "lattice_angstrom": [[5.1098, 0.0000, 0.0000], [0.0000, 5.1098, 0.0000], [0.0000, 0.0000, 5.1098]],
  "species": ["Hf", "Hf", "Hf", "Hf", "Pa"],
  "frac_coords": [[0.0000, 0.0000, 0.0000], [0.0000, 0.5000, 0.5000], [0.5000, 0.0000, 0.5000], [0.5000, 0.5000, 0.0000], [0.5000, 0.5000, 0.5000]]
}


Which structure loses on stability? version x does.


Version w
{
  "formula": "Hf3Pa2",
  "functional": "PBE-GGA",
  "state": "relaxed",
  "mass_density_g_cm3": 14.217,
  "magnetic_moment_mub_per_cell": 0.0,
  "lattice_angstrom": [[4.3374, 2.5042, 3.5756], [-4.3374, 2.5042, 3.5756], [0.0000, -5.0084, 3.5756]],
  "species": ["Hf", "Hf", "Hf", "Hf", "Hf", "Hf", "Pa", "Pa", "Pa", "Pa"],
  "frac_coords": [[0.0835, 0.4165, 0.7500], [0.2500, 0.9165, 0.5835], [0.4165, 0.7500, 0.0835], [0.5835, 0.2500, 0.9165], [0.7500, 0.0835, 0.4165], [0.9165, 0.5835, 0.2500], [0.1250, 0.1250, 0.1250], [0.3750, 0.3750, 0.3750], [0.6250, 0.6250, 0.6250], [0.8750, 0.8750, 0.8750]]
}


Version x
{
  "formula": "Hf3Pa2",
  "functional": "PBE-GGA",
  "state": "relaxed",
  "mass_density_g_cm3": 14.187,
  "magnetic_moment_mub_per_cell": 0.0,
  "lattice_angstrom": [[0.0000, 5.3412, 13.9186], [1.5705, 0.0000, 13.9186], [1.5705, 5.3412, 0.0000]],
  "species": ["Hf", "Hf", "Hf", "Hf", "Hf", "Hf", "Pa", "Pa", "Pa", "Pa"],
  "frac_coords": [[0.0238, 0.0238, 0.2262], [0.2262, 0.2262, 0.0238], [0.3750, 0.3750, 0.3750], [0.6250, 0.6250, 0.6250], [0.7738, 0.7738, 0.9762], [0.9762, 0.9762, 0.7738], [0.1733, 0.1733, 0.5767], [0.4233, 0.4233, 0.8267], [0.5767, 0.5767, 0.1733], [0.8267, 0.8267, 0.4233]]
}


Which structure loses on stability? version w does.


Version w
{
  "formula": "HfPa3",
  "functional": "PBE-GGA",
  "state": "relaxed",
  "mass_density_g_cm3": 14.769,
  "magnetic_moment_mub_per_cell": 0.0,
  "lattice_angstrom": [[-2.2703, 2.2703, 4.7531], [2.2703, -2.2703, 4.7531], [2.2703, 2.2703, -4.7531]],
  "species": ["Hf", "Pa", "Pa", "Pa"],
  "frac_coords": [[0.0000, 0.0000, 0.0000], [0.2500, 0.7500, 0.5000], [0.5000, 0.5000, 0.0000], [0.7500, 0.2500, 0.5000]]
}


Version x
{
  "formula": "HfPa3",
  "functional": "PBE-GGA",
  "state": "relaxed",
  "mass_density_g_cm3": 14.665,
  "magnetic_moment_mub_per_cell": 0.0,
  "lattice_angstrom": [[4.6213, 0.0000, 0.0000], [0.0000, 4.6213, 0.0000], [0.0000, 0.0000, 4.6213]],
  "species": ["Hf", "Pa", "Pa", "Pa"],
  "frac_coords": [[0.0000, 0.0000, 0.0000], [0.0000, 0.5000, 0.5000], [0.5000, 0.0000, 0.5000], [0.5000, 0.5000, 0.0000]]
}


Which structure loses on stability? version x does.


Version w
{
  "formula": "HfPa3",
  "functional": "PBE-GGA",
  "state": "relaxed",
  "mass_density_g_cm3": 14.992,
  "magnetic_moment_mub_per_cell": 0.0,
  "lattice_angstrom": [[3.1076, 0.0000, 0.0000], [0.0000, 5.4441, 0.0000], [0.0000, 0.0000, 5.7062]],
  "species": ["Hf", "Pa", "Pa", "Pa"],
  "frac_coords": [[0.0000, 0.0000, 0.0000], [0.0000, 0.5000, 0.2579], [0.5000, 0.0000, 0.4985], [0.5000, 0.5000, 0.7654]]
}


Version x
{
  "formula": "HfPa3",
  "functional": "PBE-GGA",
  "state": "relaxed",
  "mass_density_g_cm3": 14.985,
  "magnetic_moment_mub_per_cell": 0.0,
  "lattice_angstrom": [[-1.5590, 5.3747, 2.8817], [1.5590, -5.3747, 2.8817], [1.5590, 5.3747, -2.8817]],
  "species": ["Hf", "Pa", "Pa", "Pa"],
  "frac_coords": [[0.0000, 0.0000, 0.0000], [0.0185, 0.7569, 0.2616], [0.4953, 0.7569, 0.7384], [0.5109, 0.0109, 0.5000]]
}


Which structure loses on stability? version w does.


Version w
{
  "formula": "HfPa3",
  "functional": "PBE-GGA",
  "state": "relaxed",
  "mass_density_g_cm3": 14.883,
  "magnetic_moment_mub_per_cell": 0.0,
  "lattice_angstrom": [[5.6126, 0.0000, 0.0000], [0.0000, 5.4840, 0.0000], [0.0000, 0.0000, 12.6376]],
  "species": ["Hf", "Hf", "Hf", "Hf", "Pa", "Pa", "Pa", "Pa", "Pa", "Pa", "Pa", "Pa", "Pa", "Pa", "Pa", "Pa"],
  "frac_coords": [[0.1183, 0.2500, 0.1893], [0.3817, 0.7500, 0.6893], [0.6183, 0.2500, 0.3107], [0.8817, 0.7500, 0.8107], [0.0983, 0.2500, 0.6919], [0.1001, 0.2500, 0.9330], [0.1165, 0.2500, 0.4447], [0.3835, 0.7500, 0.9447], [0.3999, 0.7500, 0.4330], [0.4017, 0.7500, 0.1919], [0.5983, 0.2500, 0.8081], [0.6001, 0.2500, 0.5670], [0.6165, 0.2500, 0.0553], [0.8835, 0.7500, 0.5553], [0.8999, 0.7500, 0.0670], [0.9017, 0.7500, 0.3081]]
}


Version x
{
  "formula": "HfPa3",
  "functional": "PBE-GGA",
  "state": "relaxed",
  "mass_density_g_cm3": 14.930,
  "magnetic_moment_mub_per_cell": 0.0,
  "lattice_angstrom": [[0.0000, 3.6460, 3.6460], [3.6460, 0.0000, 3.6460], [3.6460, 3.6460, 0.0000]],
  "species": ["Hf", "Pa", "Pa", "Pa"],
  "frac_coords": [[0.0000, 0.0000, 0.0000], [0.2500, 0.2500, 0.2500], [0.5000, 0.5000, 0.5000], [0.7500, 0.7500, 0.7500]]
}


Which structure loses on stability? version x does.


Version w
{
  "formula": "HfPa2Pb",
  "functional": "PBE-GGA",
  "state": "relaxed",
  "mass_density_g_cm3": 13.327,
  "magnetic_moment_mub_per_cell": 0.0,
  "lattice_angstrom": [[4.0951, 0.0000, 0.0000], [0.0000, 4.0951, 0.0000], [0.0000, 0.0000, 6.2986]],
  "species": ["Hf", "Pa", "Pa", "Pb"],
  "frac_coords": [[0.0000, 0.0000, 0.0000], [0.5000, 0.5000, 0.2775], [0.5000, 0.5000, 0.7225], [0.0000, 0.0000, 0.5000]]
}


Version x
{
  "formula": "HfPa2Pb",
  "functional": "PBE-GGA",
  "state": "relaxed",
  "mass_density_g_cm3": 14.421,
  "magnetic_moment_mub_per_cell": 0.0,
  "lattice_angstrom": [[4.4194, 0.0000, 0.0000], [0.0000, 4.4194, 0.0000], [0.0000, 0.0000, 4.9981]],
  "species": ["Hf", "Pa", "Pa", "Pb"],
  "frac_coords": [[0.0000, 0.0000, 0.0000], [0.0000, 0.5000, 0.5000], [0.5000, 0.0000, 0.5000], [0.5000, 0.5000, 0.0000]]
}


Version y
{
  "formula": "HfPa2Pb",
  "functional": "PBE-GGA",
  "state": "relaxed",
  "mass_density_g_cm3": 13.567,
  "magnetic_moment_mub_per_cell": 0.0,
  "lattice_angstrom": [[0.0000, 3.7297, 3.7297], [3.7297, 0.0000, 3.7297], [3.7297, 3.7297, 0.0000]],
  "species": ["Hf", "Pa", "Pa", "Pb"],
  "frac_coords": [[0.0000, 0.0000, 0.0000], [0.2500, 0.2500, 0.2500], [0.7500, 0.7500, 0.7500], [0.5000, 0.5000, 0.5000]]
}


Which structure loses on stability? version y does.


Version w
{
  "formula": "Hf2PaPb",
  "functional": "PBE-GGA",
  "state": "relaxed",
  "mass_density_g_cm3": 14.164,
  "magnetic_moment_mub_per_cell": 0.0,
  "lattice_angstrom": [[4.7995, 0.0000, 0.0000], [0.0000, 4.7995, 0.0000], [0.0000, 0.0000, 4.0473]],
  "species": ["Hf", "Hf", "Pa", "Pb"],
  "frac_coords": [[0.0000, 0.5000, 0.0000], [0.5000, 0.0000, 0.0000], [0.0000, 0.0000, 0.5000], [0.5000, 0.5000, 0.5000]]
}


Version x
{
  "formula": "Hf2PaPb",
  "functional": "PBE-GGA",
  "state": "relaxed",
  "mass_density_g_cm3": 13.441,
  "magnetic_moment_mub_per_cell": 0.0,
  "lattice_angstrom": [[1.6545, 0.9552, 10.3605], [-1.6545, 0.9552, 10.3605], [0.0000, -1.9104, 10.3605]],
  "species": ["Hf", "Hf", "Pa", "Pb"],
  "frac_coords": [[0.2502, 0.2502, 0.2502], [0.7498, 0.7498, 0.7498], [0.5000, 0.5000, 0.5000], [0.0000, 0.0000, 0.0000]]
}


Which structure loses on stability? version x does.


Version w
{
  "formula": "Hf2PaPb",
  "functional": "PBE-GGA",
  "state": "relaxed",
  "mass_density_g_cm3": 14.063,
  "magnetic_moment_mub_per_cell": 0.0,
  "lattice_angstrom": [[3.7127, 0.0000, 0.0000], [0.0000, 3.7127, 0.0000], [0.0000, 0.0000, 6.8122]],
  "species": ["Hf", "Hf", "Pa", "Pb"],
  "frac_coords": [[0.0000, 0.0000, 0.2460], [0.0000, 0.0000, 0.7540], [0.5000, 0.5000, 0.0000], [0.5000, 0.5000, 0.5000]]
}


Version x
{
  "formula": "Hf2PaPb",
  "functional": "PBE-GGA",
  "state": "relaxed",
  "mass_density_g_cm3": 13.599,
  "magnetic_moment_mub_per_cell": 0.0,
  "lattice_angstrom": [[10.1707, -1.5970, 0.0000], [10.1707, 1.5970, 0.0000], [-0.3927, 0.0000, 5.9782]],
  "species": ["Hf", "Hf", "Hf", "Hf", "Pa", "Pa", "Pb", "Pb"],
  "frac_coords": [[0.0348, 0.7215, 0.7282], [0.2785, 0.9652, 0.7718], [0.7215, 0.0348, 0.2282], [0.9652, 0.2785, 0.2718], [0.5000, 0.5000, 0.0000], [0.5000, 0.5000, 0.5000], [0.0000, 0.5000, 0.0000], [0.5000, 0.0000, 0.5000]]
}


Which structure loses on stability? version x does.